Record 1
First-principles (PBE) data for a geometry-optimized GaHg3Pb6 structure, as listed in the Alexandria database.

Cell: 5.0755 11.2261 13.3813 Å, 129.42 90.00 90.00°
Fractional positions:
Ga 0.7500 0.0566 0.6956
Ga 0.2500 0.9434 0.3044
Hg 0.7500 0.5556 0.8532
Hg 0.2500 0.4444 0.1468
Hg 0.7500 0.7365 0.5561
Hg 0.2500 0.2635 0.4439
Hg 0.7500 0.3064 0.2041
Hg 0.2500 0.6936 0.7959
Pb 0.7500 0.4890 0.5901
Pb 0.2500 0.5110 0.4099
Pb 0.7500 0.9059 0.1438
Pb 0.2500 0.0941 0.8562
Pb 0.7500 0.3635 0.9588
Pb 0.2500 0.6365 0.0412
Pb 0.7500 0.7147 0.2756
Pb 0.2500 0.2853 0.7244
Pb 0.7500 0.1142 0.4964
Pb 0.2500 0.8858 0.5036
Pb 0.7500 0.9183 0.8831
Pb 0.2500 0.0817 0.1169

Results
Its space group is P2_1/m (11). Its volume is 29.45 A^3/atom. As for the final energy: -2.56 eV per atom. As for the energy above the most stable polymorph in this dataset: 0 meV per atom. The density of states at the Fermi level is 0.40 states/eV/atom.

=====

Record 2
First-principles (PBE) data for a geometry-optimized ErNiPtPb structure, as listed in the Alexandria database.

Cell: 4.7781 4.7781 4.7781 Å, 60.00 60.00 60.00°
Fractional positions:
Pb 0.0000 0.0000 0.0000
Ni 0.2500 0.2500 0.2500
Pt 0.7500 0.7500 0.7500
Er 0.5000 0.5000 0.5000

Results
Its space group is F-43m (216). Its volume is 19.28 A^3/atom. As for the final energy: -5.52 eV per atom. The density of states at the Fermi level is 0.54 states/eV/atom.

=====

Record 3
First-principles (PBE) data for a geometry-optimized Zr3Zn8Tc structure, as listed in the Alexandria database.

Cell: 5.1235 5.1235 8.9359 Å, 73.34 73.34 60.00°
Each line ends with the local moment (μB).
Fractional positions:
Zr 0.3763 0.3763 0.8711  0.35
Zr 0.9935 0.9935 0.0194  0.33
Zr 0.5037 0.5037 0.4890  0.01
Zn 0.9363 0.4357 0.1922  0.00
Zn 0.4420 0.9378 0.6825  0.01
Zn 0.4357 0.4357 0.1922  0.00
Zn 0.9378 0.9378 0.6825  0.01
Zn 0.1879 0.1879 0.4363  0.00
Zn 0.6874 0.6874 0.9378  -0.01
Zn 0.4357 0.9363 0.1922  0.00
Zn 0.9378 0.4420 0.6825  0.01
Tc 0.8759 0.8759 0.3722  -0.04

Results
Its space group is R3m (160). Its volume is 15.97 A^3/atom. As for the final energy: -4.10 eV per atom. As for the energy above the most stable polymorph in this dataset: 0 meV per atom. The density of states at the Fermi level is 0.55 states/eV/atom.

=====

> final energy of number 1 (GaHg3Pb6)?

-2.56 eV per atom

=====

Please write out number 3 again, unchanged.
First-principles (PBE) data for a geometry-optimized Zr3Zn8Tc structure, as listed in the Alexandria database.

Cell: 5.1235 5.1235 8.9359 Å, 73.34 73.34 60.00°
Each line ends with the local moment (μB).
Fractional positions:
Zr 0.3763 0.3763 0.8711  0.35
Zr 0.9935 0.9935 0.0194  0.33
Zr 0.5037 0.5037 0.4890  0.01
Zn 0.9363 0.4357 0.1922  0.00
Zn 0.4420 0.9378 0.6825  0.01
Zn 0.4357 0.4357 0.1922  0.00
Zn 0.9378 0.9378 0.6825  0.01
Zn 0.1879 0.1879 0.4363  0.00
Zn 0.6874 0.6874 0.9378  -0.01
Zn 0.4357 0.9363 0.1922  0.00
Zn 0.9378 0.4420 0.6825  0.01
Tc 0.8759 0.8759 0.3722  -0.04

Results
Its space group is R3m (160). Its volume is 15.97 A^3/atom. As for the final energy: -4.10 eV per atom. As for the energy above the most stable polymorph in this dataset: 0 meV per atom. The density of states at the Fermi level is 0.55 states/eV/atom.

=====

> Look up the final energy of the first one.

-2.56 eV per atom

=====

> Which value of volume does entry 2 give?

19.28 A^3/atom